Entry 1:
# ScFeCo | Alexandria | PBE-GGA | optimized geometry
data_ScFeCo
_chemical_formula_sum 'Sc1 Fe1 Co1'
_cell_length_a 5.1938
_cell_length_b 5.1938
_cell_length_c 5.1938
_cell_angle_alpha 146.19
_cell_angle_beta 146.19
_cell_angle_gamma 48.57
_space_group_name_H-M_alt 'P 1'
_space_group_IT_number 1
_space_group_name_Hall 'P 1'
loop_
_atom_site_label
_atom_site_fract_x
_atom_site_fract_y
_atom_site_fract_z
Sc1 0.0000 0.0000 0.0000
Fe1 0.3124 0.3124 0.0000
Co1 0.6812 0.6812 0.0000
# Calculated volume ... 43.20 Å³ per cell
# Energy relative to the elements ... -0.085 eV/atom

Entry 2:
# CaMg2Os | Alexandria | PBE-GGA | optimized geometry
data_CaMg2Os
_chemical_formula_sum 'Ca1 Mg2 Os1'
_cell_length_a 5.0750
_cell_length_b 5.0750
_cell_length_c 5.0750
_cell_angle_alpha 128.32
_cell_angle_beta 128.32
_cell_angle_gamma 76.10
_space_group_name_H-M_alt 'P 1'
_space_group_IT_number 1
_space_group_name_Hall 'P 1'
loop_
_atom_site_label
_atom_site_fract_x
_atom_site_fract_y
_atom_site_fract_z
Ca1 0.0000 0.0000 0.0000
Mg1 0.2500 0.7500 0.5000
Mg2 0.7500 0.2500 0.5000
Os1 0.5000 0.5000 0.0000
# Calculated volume ... 78.20 Å³ per cell
# Energy relative to the elements ... 0.230 eV/atom

Entry 3:
# SiHgH2I | Alexandria | PBE-GGA | optimized geometry
data_SiHgH2I
_chemical_formula_sum 'Si1 Hg1 H2 I1'
_cell_length_a 3.8819
_cell_length_b 3.8819
_cell_length_c 8.5204
_cell_angle_alpha 90.00
_cell_angle_beta 90.00
_cell_angle_gamma 90.00
_space_group_name_H-M_alt 'P 1'
_space_group_IT_number 1
_space_group_name_Hall 'P 1'
loop_
_atom_site_label
_atom_site_fract_x
_atom_site_fract_y
_atom_site_fract_z
Si1 0.0000 0.0000 0.0000
Hg1 0.5000 0.5000 0.0000
H1 0.0000 0.5000 0.5000
H2 0.5000 0.0000 0.5000
I1 0.5000 0.5000 0.5000
# VASP energy ... -10.32 eV for the cell shown
# Calculated volume ... 128.39 Å³ per cell